# 1
Computed, not measured: a PBEsol-optimized structure of Tl2PtCl at the SCAN level of DFT.

As for the total energy: -56.061 eV/atom. As for the total moment: 0.000 μB/cell. The value obtained for the uncorrected formation energy is -0.3386 eV/atom. As for the density of states at the Fermi level: 1.3 states/eV/f.u. The distance to the lowest polymorph of the same formula is 0.000 eV/atom.

The structure belongs to space group Pmmm (No. 47); the cell edges are 3.8413, 4.2324 and 5.6760 Å and the angles 90.00°, 90.00° and 90.00°. The inequivalent atoms are Tl at (0.0000, 0.0000, 0.0000), Tl at (0.5000, 0.5000, 0.5000), Pt at (0.0000, 0.0000, 0.5000) and Cl at (0.5000, 0.5000, 0.0000).

# 2
Computed, not measured: a PBEsol-optimized structure of Y2AsP at the SCAN level of DFT.

As for the total energy: -22.857 eV/atom. As for the total moment: 0.000 μB/cell. As for the density of states at the Fermi level: 0.9 states/eV/f.u. The value obtained for the formation energy is -1.2883 eV/atom.

The structure belongs to space group Pmmm (No. 47); the cell edges are 3.6538, 4.2886 and 5.5399 Å and the angles 90.00°, 90.00° and 90.00°. The inequivalent atoms are Y at (0.0000, 0.0000, 0.0000), Y at (0.0000, 0.5000, 0.5000), As at (0.5000, 0.0000, 0.5000) and P at (0.5000, 0.5000, 0.0000).

# 3
Computed, not measured: a PBEsol-optimized structure of CoRuSe2 at the SCAN level of DFT.

As for the total energy: -23.284 eV/atom. As for the total moment: 0.000 μB/cell. The value obtained for the uncorrected formation energy is -0.2118 eV/atom. As for the density of states at the Fermi level: 1.3 states/eV/f.u. The distance to the lowest polymorph of the same formula is 0.000 eV/atom.

The structure belongs to space group P-4m2 (No. 115); the cell edges are 3.7495, 3.7495 and 5.3182 Å and the angles 90.00°, 90.00° and 90.00°. The inequivalent atoms are Co at (0.0000, 0.0000, 0.0000), Ru at (0.5000, 0.5000, 0.0000) and Se at (0.0000, 0.5000, 0.2672).

# 4
Computed, not measured: a PBEsol-optimized structure of Sc2AsBr at the SCAN level of DFT.

As for the total energy: -18.076 eV/atom. As for the total moment: 6.913 μB/cell. The value obtained for the uncorrected formation energy is -1.0449 eV/atom. As for the density of states at the Fermi level: 1.1 states/eV/f.u.

The structure belongs to space group Fm-3m (No. 225); the cell edges are 6.7407, 6.7407 and 6.7407 Å and the angles 90.00°, 90.00° and 90.00°. The inequivalent atoms are Sc at (0.2500, 0.2500, 0.2500), As at (0.0000, 0.0000, 0.0000) and Br at (0.0000, 0.0000, 0.5000).

- Which value of total moment does entry 4 give?
  6.913 μB/cell

- What is the total moment in the first record?
  0.000 μB/cell

- What is the total moment in the first record?
  0.000 μB/cell